Arrangement P

The following is a GGA-PBE calculation of an optimized crystal structure of SrZrGa, from OQMD via LeMat-Bulk.

Lattice parameters (Å, degrees): 7.163 7.163 7.163 90.00 90.00 90.00
Space group F-43m (No. 216)
Symmetry-distinct sites (fractional):
Sr  0.000  0.000  0.000 [4 per cell]
Zr  0.250  0.250  0.250 [4 per cell]
Ga  0.250  0.250  0.750 [4 per cell]

***

Arrangement Q

The following is a GGA-PBE calculation of an optimized crystal structure of SrZrGa, from OQMD via LeMat-Bulk.

Lattice parameters (Å, degrees): 7.071 7.071 7.071 90.00 90.00 90.00
Space group F-43m (No. 216)
Symmetry-distinct sites (fractional):
Sr  0.000  0.000  0.000 [4 per cell]
Zr  0.000  0.000  0.500 [4 per cell]
Ga  0.250  0.250  0.250 [4 per cell]

***

Most stable to least stable, the ends of the list are arrangement Q and arrangement P.